DFT (PBE-GGA) results for a geometry-optimized Ti4TlI7 structure.

## Properties
ΔE_f (raw)	-0.4403	eV per atom
theoretical density	4.96	Mg/m³

CIF file:
```
data_Ti4TlI7
_cell_length_a 5.155
_cell_length_b 20.886
_cell_length_c 7.982
_cell_angle_alpha 90.00
_cell_angle_beta 90.00
_cell_angle_gamma 90.00
_symmetry_space_group_name_H-M 'P m m n'
_symmetry_Int_Tables_number 59
loop_
_symmetry_equiv_pos_as_xyz
'x,y,z'
'-x,-y,-z'
'-x+1/2,-y+1/2,z'
'x+1/2,y+1/2,-z'
'x+1/2,-y,-z'
'-x+1/2,y,z'
'-x,y+1/2,-z'
'x,-y+1/2,z'
loop_
_atom_site_label
_atom_site_type_symbol
_atom_site_fract_x
_atom_site_fract_y
_atom_site_fract_z
Ti1 Ti 0.250 0.006 0.093
Ti2 Ti 0.250 0.107 0.869
Tl1 Tl 0.250 0.750 0.939
I1 I 0.250 0.141 0.202
I2 I 0.250 0.250 0.770
I3 I 0.250 0.517 0.743
I4 I 0.250 0.613 0.276
```